No. 1
The following is a PBE calculation of Ce2Dy4Sb3N2 after structural relaxation, from the Alexandria database.

abc: 13.108 13.108 13.108
angles: 159.44 159.44 29.24
Atoms (fractional coordinates):
1 Ce 0.192 0.192 0.000
2 Ce 0.808 0.808 0.000
3 Dy 0.083 0.583 0.500
4 Dy 0.417 0.917 0.500
5 Dy 0.583 0.083 0.500
6 Dy 0.917 0.417 0.500
7 Sb 0.325 0.325 0.000
8 Sb 0.500 0.500 0.000
9 Sb 0.675 0.675 0.000
10 N 0.101 0.101 0.000
11 N 0.899 0.899 0.000

- E: -6.572 eV/atom
- Spin magnetization: 2.52 μB/f.u.

No. 2
The following is a PBE calculation of SrLa2Ir after structural relaxation, from the Alexandria database.

abc: 6.339 6.339 3.550
angles: 103.97 103.97 116.89
Atoms (fractional coordinates):
1 Sr 0.000 0.000 0.000
2 La 0.000 0.500 0.500
3 La 0.500 0.000 0.500
4 Ir 0.500 0.500 0.000

- Formation enthalpy at 0 K: 0.254 eV/atom
- Spin magnetization: 0.00 μB/f.u.

No. 3
The following is a PBE calculation of Si2BN after structural relaxation, from the Alexandria database.

abc: 5.482 5.482 5.482
angles: 132.17 132.17 69.96
Atoms (fractional coordinates):
1 Si 0.117 0.625 0.992
2 Si 0.375 0.367 0.492
3 Si 0.633 0.125 0.008
4 Si 0.875 0.883 0.508
5 B 0.250 0.750 0.500
6 B 0.500 0.500 0.000
7 N 0.000 0.000 0.000
8 N 0.750 0.250 0.500

- E: -6.813 eV/atom
- Spin magnetization: 0.00 μB/f.u.

No. 4
The following is a PBE calculation of Cs2Rb3BaBr6 after structural relaxation, from the Alexandria database.

abc: 11.300 11.300 10.313
angles: 102.50 102.50 25.95
Atoms (fractional coordinates):
1 Cs 0.166 0.166 0.339
2 Cs 0.834 0.834 0.661
3 Rb 0.168 0.168 0.833
4 Rb 0.500 0.500 0.500
5 Rb 0.832 0.832 0.167
6 Ba 0.500 0.500 0.000
7 Br 0.004 0.004 0.788
8 Br 0.336 0.336 0.403
9 Br 0.345 0.345 0.932
10 Br 0.655 0.655 0.068
11 Br 0.664 0.664 0.597
12 Br 0.996 0.996 0.212

- E: -3.076 eV/atom
- Spin magnetization: 0.00 μB/f.u.